(1)
# GGA-PBE PaGeTe, optimized geometry
# Symmetry ... P4/nmm, No. 129
# Uncorrected formation energy ... -0.676 eV per atom
# Energy above the lowest structure with this stoichiometry ... 73.6 meV/atom
data_PaGeTe
_chemical_formula_sum 'Pa2 Ge2 Te2'
_space_group_name_H-M_alt 'P 1'
_space_group_IT_number 1
_space_group_name_Hall 'P 1'
_cell_length_a 4.183
_cell_length_b 4.183
_cell_length_c 8.632
_cell_angle_alpha 90.00
_cell_angle_beta 90.00
_cell_angle_gamma 90.00
loop_
_atom_site_label
_atom_site_fract_x
_atom_site_fract_y
_atom_site_fract_z
Pa1 0.250 0.250 0.250
Pa2 0.750 0.750 0.750
Ge1 0.250 0.750 0.000
Ge2 0.750 0.250 0.000
Te1 0.250 0.250 0.634
Te2 0.750 0.750 0.366

***

(2)
# GGA-PBE PaGeTe, optimized geometry
# Symmetry ... Fddd, No. 70
# Uncorrected formation energy ... -0.125 eV per atom
# Energy above the lowest structure with this stoichiometry ... 623.7 meV/atom
data_PaGeTe
_chemical_formula_sum 'Pa4 Ge4 Te4'
_space_group_name_H-M_alt 'P 1'
_space_group_IT_number 1
_space_group_name_Hall 'P 1'
_cell_length_a 10.527
_cell_length_b 9.064
_cell_length_c 7.084
_cell_angle_alpha 80.35
_cell_angle_beta 58.09
_cell_angle_gamma 41.56
loop_
_atom_site_label
_atom_site_fract_x
_atom_site_fract_y
_atom_site_fract_z
Pa1 0.092 0.658 0.092
Pa2 0.342 0.908 0.342
Pa3 0.658 0.092 0.658
Pa4 0.908 0.342 0.908
Ge1 0.000 0.500 0.500
Ge2 0.500 0.000 0.500
Ge3 0.500 0.500 0.000
Ge4 0.500 0.500 0.500
Te1 0.027 0.027 0.223
Te2 0.223 0.223 0.027
Te3 0.777 0.777 0.973
Te4 0.973 0.973 0.777

***

(3)
# GGA-PBE Pa2GeTe, optimized geometry
# Symmetry ... P4/mmm, No. 123
# Uncorrected formation energy ... -0.510 eV per atom
# Energy above the lowest structure with this stoichiometry ... 78.0 meV/atom
data_Pa2GeTe
_chemical_formula_sum 'Pa2 Ge1 Te1'
_space_group_name_H-M_alt 'P 1'
_space_group_IT_number 1
_space_group_name_Hall 'P 1'
_cell_length_a 4.243
_cell_length_b 4.243
_cell_length_c 6.002
_cell_angle_alpha 90.00
_cell_angle_beta 90.00
_cell_angle_gamma 90.00
loop_
_atom_site_label
_atom_site_fract_x
_atom_site_fract_y
_atom_site_fract_z
Pa1 0.000 0.000 0.000
Pa2 0.500 0.500 0.500
Ge1 0.000 0.000 0.500
Te1 0.500 0.500 0.000

***

(4)
# GGA-PBE PaGe2Te, optimized geometry
# Symmetry ... P4/mmm, No. 123
# Uncorrected formation energy ... -0.341 eV per atom
# Energy above the lowest structure with this stoichiometry ... 0.0 meV/atom
data_PaGe2Te
_chemical_formula_sum 'Pa1 Ge2 Te1'
_space_group_name_H-M_alt 'P 1'
_space_group_IT_number 1
_space_group_name_Hall 'P 1'
_cell_length_a 4.417
_cell_length_b 4.417
_cell_length_c 4.487
_cell_angle_alpha 90.00
_cell_angle_beta 90.00
_cell_angle_gamma 90.00
loop_
_atom_site_label
_atom_site_fract_x
_atom_site_fract_y
_atom_site_fract_z
Pa1 0.000 0.000 0.000
Ge1 0.000 0.500 0.500
Ge2 0.500 0.000 0.500
Te1 0.500 0.500 0.000

***

(5)
# GGA-PBE PaGeTe6, optimized geometry
# Symmetry ... C2/m, No. 12
# Uncorrected formation energy ... -0.251 eV per atom
data_PaGeTe6
_chemical_formula_sum 'Pa1 Ge1 Te6'
_space_group_name_H-M_alt 'P 1'
_space_group_IT_number 1
_space_group_name_Hall 'P 1'
_cell_length_a 5.765
_cell_length_b 5.765
_cell_length_c 7.958
_cell_angle_alpha 94.34
_cell_angle_beta 94.34
_cell_angle_gamma 97.13
loop_
_atom_site_label
_atom_site_fract_x
_atom_site_fract_y
_atom_site_fract_z
Pa1 0.000 0.000 0.000
Ge1 0.500 0.500 0.500
Te1 0.165 0.519 0.192
Te2 0.180 0.180 0.683
Te3 0.481 0.835 0.808
Te4 0.519 0.165 0.192
Te5 0.820 0.820 0.317
Te6 0.835 0.481 0.808

***

(6)
# GGA-PBE Pa3Ge2Te, optimized geometry
# Symmetry ... Cmcm, No. 63
# Uncorrected formation energy ... -0.368 eV per atom
data_Pa3Ge2Te
_chemical_formula_sum 'Pa6 Ge4 Te2'
_space_group_name_H-M_alt 'P 1'
_space_group_IT_number 1
_space_group_name_Hall 'P 1'
_cell_length_a 7.691
_cell_length_b 7.691
_cell_length_c 8.896
_cell_angle_alpha 90.00
_cell_angle_beta 90.00
_cell_angle_gamma 147.11
loop_
_atom_site_label
_atom_site_fract_x
_atom_site_fract_y
_atom_site_fract_z
Pa1 0.140 0.860 0.750
Pa2 0.358 0.642 0.523
Pa3 0.358 0.642 0.977
Pa4 0.642 0.358 0.023
Pa5 0.642 0.358 0.477
Pa6 0.860 0.140 0.250
Ge1 0.000 0.000 0.000
Ge2 0.000 0.000 0.500
Ge3 0.497 0.503 0.250
Ge4 0.503 0.497 0.750
Te1 0.211 0.789 0.250
Te2 0.789 0.211 0.750

***

(7)
# GGA-PBE Pa2GeTe, optimized geometry
# Symmetry ... R3m, No. 160
# Uncorrected formation energy ... -0.533 eV per atom
# Energy above the lowest structure with this stoichiometry ... 55.3 meV/atom
data_Pa2GeTe
_chemical_formula_sum 'Pa2 Ge1 Te1'
_space_group_name_H-M_alt 'P 1'
_space_group_IT_number 1
_space_group_name_Hall 'P 1'
_cell_length_a 8.047
_cell_length_b 8.047
_cell_length_c 8.047
_cell_angle_alpha 28.95
_cell_angle_beta 28.95
_cell_angle_gamma 28.95
loop_
_atom_site_label
_atom_site_fract_x
_atom_site_fract_y
_atom_site_fract_z
Pa1 0.000 0.000 0.000
Pa2 0.187 0.187 0.187
Ge1 0.594 0.594 0.594
Te1 0.426 0.426 0.426

***

(8)
# GGA-PBE Pa6GeTe5, optimized geometry
# Symmetry ... C2/m, No. 12
# Uncorrected formation energy ... -0.593 eV per atom
data_Pa6GeTe5
_chemical_formula_sum 'Pa6 Ge1 Te5'
_space_group_name_H-M_alt 'P 1'
_space_group_IT_number 1
_space_group_name_Hall 'P 1'
_cell_length_a 7.662
_cell_length_b 7.662
_cell_length_c 7.263
_cell_angle_alpha 100.21
_cell_angle_beta 100.21
_cell_angle_gamma 121.38
loop_
_atom_site_label
_atom_site_fract_x
_atom_site_fract_y
_atom_site_fract_z
Pa1 0.071 0.389 0.731
Pa2 0.220 0.220 0.241
Pa3 0.389 0.071 0.731
Pa4 0.611 0.929 0.269
Pa5 0.780 0.780 0.759
Pa6 0.929 0.611 0.269
Ge1 0.000 0.000 0.500
Te1 0.180 0.820 0.000
Te2 0.341 0.659 0.500
Te3 0.500 0.500 0.000
Te4 0.659 0.341 0.500
Te5 0.820 0.180 0.000

***

(9)
# GGA-PBE PaGeTe, optimized geometry
# Symmetry ... I4/mmm, No. 139
# Uncorrected formation energy ... -0.749 eV per atom
# Energy above the lowest structure with this stoichiometry ... 0.0 meV/atom
data_PaGeTe
_chemical_formula_sum 'Pa2 Ge2 Te2'
_space_group_name_H-M_alt 'P 1'
_space_group_IT_number 1
_space_group_name_Hall 'P 1'
_cell_length_a 9.161
_cell_length_b 9.161
_cell_length_c 9.161
_cell_angle_alpha 153.71
_cell_angle_beta 153.71
_cell_angle_gamma 37.52
loop_
_atom_site_label
_atom_site_fract_x
_atom_site_fract_y
_atom_site_fract_z
Pa1 0.121 0.121 0.000
Pa2 0.879 0.879 0.000
Ge1 0.000 0.500 0.500
Ge2 0.500 0.000 0.500
Te1 0.315 0.315 0.000
Te2 0.685 0.685 0.000

***

(10)
# GGA-PBE Pa2Ge2Te, optimized geometry
# Symmetry ... P6_3/mmc, No. 194
# Uncorrected formation energy ... -0.436 eV per atom
data_Pa2Ge2Te
_chemical_formula_sum 'Pa4 Ge4 Te2'
_space_group_name_H-M_alt 'P 1'
_space_group_IT_number 1
_space_group_name_Hall 'P 1'
_cell_length_a 4.333
_cell_length_b 4.333
_cell_length_c 15.321
_cell_angle_alpha 90.00
_cell_angle_beta 90.00
_cell_angle_gamma 120.00
loop_
_atom_site_label
_atom_site_fract_x
_atom_site_fract_y
_atom_site_fract_z
Pa1 0.000 0.000 0.116
Pa2 0.000 0.000 0.384
Pa3 0.000 0.000 0.616
Pa4 0.000 0.000 0.884
Ge1 0.333 0.667 0.004
Ge2 0.333 0.667 0.496
Ge3 0.667 0.333 0.504
Ge4 0.667 0.333 0.996
Te1 0.333 0.667 0.750
Te2 0.667 0.333 0.250

***

(11)
# GGA-PBE PaTl3Ge2Te6, optimized geometry
# Symmetry ... C2/m, No. 12
# Uncorrected formation energy ... -0.419 eV per atom
data_PaTl3Ge2Te6
_chemical_formula_sum 'Pa1 Tl3 Ge2 Te6'
_space_group_name_H-M_alt 'P 1'
_space_group_IT_number 1
_space_group_name_Hall 'P 1'
_cell_length_a 7.669
_cell_length_b 7.669
_cell_length_c 8.365
_cell_angle_alpha 98.77
_cell_angle_beta 98.77
_cell_angle_gamma 119.99
loop_
_atom_site_label
_atom_site_fract_x
_atom_site_fract_y
_atom_site_fract_z
Pa1 0.000 0.000 0.000
Tl1 0.166 0.834 0.500
Tl2 0.500 0.500 0.500
Tl3 0.834 0.166 0.500
Ge1 0.333 0.667 0.000
Ge2 0.667 0.333 0.000
Te1 0.068 0.399 0.204
Te2 0.263 0.263 0.795
Te3 0.399 0.068 0.204
Te4 0.601 0.932 0.796
Te5 0.737 0.737 0.205
Te6 0.932 0.601 0.796

***

(12)
# GGA-PBE ThPa2Ge, optimized geometry
# Symmetry ... P4/mmm, No. 123
# ΔE_f ... -139 meV per atom
# Energy above the lowest structure with this stoichiometry ... 61.9 meV/atom
data_ThPa2Ge
_chemical_formula_sum 'Th1 Pa2 Ge1'
_space_group_name_H-M_alt 'P 1'
_space_group_IT_number 1
_space_group_name_Hall 'P 1'
_cell_length_a 3.897
_cell_length_b 3.897
_cell_length_c 6.826
_cell_angle_alpha 90.00
_cell_angle_beta 90.00
_cell_angle_gamma 90.00
loop_
_atom_site_label
_atom_site_fract_x
_atom_site_fract_y
_atom_site_fract_z
Th1 0.000 0.000 0.000
Pa1 0.500 0.500 0.302
Pa2 0.500 0.500 0.698
Ge1 0.000 0.000 0.500

***

The evaluated VASP energy for the records listed, in turn: -38.56 -70.53 -28.79 -23.24 -34.97 -86.15 -28.88 -84.42 -39.00 -67.09 -49.71 -31.58 eV per cell.